[1]
First-principles (PBE) data for a geometry-optimized HPdAu structure, as listed in the Alexandria database.

extended XYZ file:
```
3
Lattice="-2.391 1.216 -1.018 -1.070 -0.902 2.505 1.160 3.857 1.884" Properties=species:S:1:pos:R:3 pbc="T T T"
H -1.111 -0.475 1.657
Pd -1.676 0.430 0.152
Au -0.419 1.273 2.900
```

For the magnetic moment, the calculation gives 0.00 μB per formula unit. The energy above the lowest structure with this stoichiometry comes out at 32.4 meV per atom. For the final energy, the calculation gives -3.96 eV per atom.

=====

[2]
First-principles (PBE) data for a geometry-optimized Cd2HgOs structure, as listed in the Alexandria database.

extended XYZ file:
```
4
Lattice="-4.180 -0.548 -1.100 0.780 -0.385 -2.770 1.284 -6.302 -1.738" Properties=species:S:1:pos:R:3 pbc="T T T"
Os -0.541 -5.289 -3.931
Hg -1.574 -1.946 -1.677
Cd 1.276 -6.186 -1.765
Cd 1.040 -3.459 -2.227
```

The formation energy comes out at 0.5432 eV/atom. For the magnetic moment, the calculation gives 0.00 μB per formula unit. For the final energy, the calculation gives -2.80 eV per atom.

=====

[3]
First-principles (PBE) data for a geometry-optimized BaCl structure, as listed in the Alexandria database.

extended XYZ file:
```
12
Lattice="-1.293 -0.694 -4.544 -5.712 -4.279 2.280 -8.820 12.124 0.658" Properties=species:S:1:pos:R:3 pbc="T T T"
Ba -11.300 6.576 2.212
Ba -8.288 6.984 -1.217
Ba -4.813 2.207 -1.476
Ba -5.955 -0.772 1.813
Ba -8.230 3.200 1.854
Ba -2.539 -1.764 -1.517
Cl -5.619 7.712 0.421
Cl -13.969 5.847 0.574
Cl -7.557 -2.967 0.095
Cl -3.212 4.403 0.241
Cl -3.481 -2.608 1.390
Cl -7.287 4.044 -1.053
```

For the magnetic moment, the calculation gives 0.62 μB per formula unit. For the uncorrected formation energy, the calculation gives -3.5 eV per formula unit. For the final energy, the calculation gives -3.64 eV per atom.